Here is a relaxed structure of Fe2AuF from Alexandria. Energies are from PBE with a Hubbard U.

Summary:
The calculation puts the density of states at the Fermi level at 3.2 states/eV per cell. The offset from the most stable computed form comes out at 4.340 kcal/mol of atoms. The volume comes out at 15.29 A^3/atom.

Unit cell a=4.422 b=4.422 c=4.422 alpha=60.00 beta=60.00 gamma=60.00
Sites, in units of the cell vectors:
Fe (0.250, 0.250, 0.250)
Fe (0.750, 0.750, 0.750)
Au (0.000, 0.000, 0.000)
F (0.500, 0.500, 0.500)